1.
Entry from the Alexandria database: a geometry-optimized KTl2ZnBr4 structure (GGA-PBE).

Crystal system = orthorhombic
Formation energy without anion corrections = -6.5 eV per formula unit
DOS(E_F) = 0.33 states/eV per atom
Space-group type = Fddd

```
16
Lattice="0.0000 6.3121 14.1872 3.5731 0.0000 14.1872 3.5731 6.3121 0.0000" Properties=species:S:1:pos:R:3 pbc="T T T"
K 0.8933 1.5780 3.5468
K 6.2528 11.0462 24.8276
Tl 2.6798 4.7341 0.2909
Tl 4.4663 7.8901 7.3845
Tl 2.6798 4.7341 20.9899
Tl 4.4663 7.8901 28.0835
Zn 2.6798 4.7341 10.6404
Zn 4.4663 7.8901 17.7340
Br 3.9679 3.3604 9.0747
Br 3.9679 6.1078 12.2062
Br 5.7544 6.5164 19.2998
Br 5.7544 9.2638 16.1683
Br 1.3917 3.3604 12.2062
Br 1.3917 6.1078 9.0747
Br 3.1782 6.5164 16.1683
Br 3.1782 9.2638 19.2998
```


2.
Entry from the Alexandria database: a geometry-optimized Ga2BiN structure (GGA-PBE).

Energy relative to the lowest polymorph listed for this composition = 0.0 meV per atom
Crystal system = trigonal
Formation energy without anion corrections = -0.1 eV per formula unit
DOS(E_F) = 0.03 states/eV per atom
Space-group type = R3m

```
4
Lattice="1.6299 0.9410 8.9086 -1.6299 0.9410 8.9086 0.0000 -1.8821 8.9086" Properties=species:S:1:pos:R:3 pbc="T T T"
Ga 0.0000 0.0000 0.0000
Ga 0.0000 0.0000 11.5647
Bi 0.0000 0.0000 23.8834
N 0.0000 0.0000 9.5519
```


3.
Entry from the Alexandria database: a geometry-optimized Pm6YHo3Er2 structure (GGA-PBE).

Crystal system = monoclinic
DFT formation energy = 0.013 eV/atom
DOS(E_F) = 1.14 states/eV per atom
Space-group type = C2/m

```
12
Lattice="3.1161 -5.3957 0.0000 3.1161 5.3957 0.0000 -2.0692 0.0000 11.6104" Properties=species:S:1:pos:R:3 pbc="T T T"
Pm 0.0009 1.8042 8.7069
Pm 1.0367 0.0000 2.9040
Pm 0.0009 -1.8042 8.7069
Pm 4.1621 1.8042 2.9035
Pm 3.1263 0.0000 8.7065
Pm 4.1621 -1.8042 2.9035
Y 3.1161 0.0000 0.0000
Ho -1.0346 0.0000 5.8052
Ho 2.0815 1.7990 5.8052
Ho 2.0815 -1.7990 5.8052
Er 3.1161 3.5973 0.0000
Er 3.1161 -3.5973 0.0000
```


4.
Entry from the Alexandria database: a geometry-optimized CaTbCl structure (GGA-PBE).

Crystal system = hexagonal
Formation energy without anion corrections = -2.6 eV per formula unit
DOS(E_F) = 0.93 states/eV per atom
Space-group type = P-6m2

```
6
Lattice="3.6554 0.0000 0.0000 -1.8277 3.1656 0.0000 0.0000 0.0000 14.5209" Properties=species:S:1:pos:R:3 pbc="T T T"
Ca 0.0000 0.0000 0.0000
Ca 0.0000 2.1104 7.2605
Tb 0.0000 2.1104 3.0328
Tb 0.0000 2.1104 11.4881
Cl 0.0000 0.0000 5.2053
Cl 0.0000 0.0000 9.3156
```


5.
Entry from the Alexandria database: a geometry-optimized GdTh2Tc structure (GGA-PBE).

Energy relative to the lowest polymorph listed for this composition = 279.7 meV per atom
Crystal system = trigonal
DFT formation energy = 0.291 eV/atom
DOS(E_F) = 1.84 states/eV per atom
Space-group type = R-3m

```
4
Lattice="1.9299 1.1142 10.2427 -1.9299 1.1142 10.2427 0.0000 -2.2285 10.2427" Properties=species:S:1:pos:R:3 pbc="T T T"
Gd 0.0000 0.0000 0.0000
Th 0.0000 0.0000 3.4588
Th 0.0000 0.0000 27.2693
Tc 0.0000 0.0000 15.3641
```


6.
Entry from the Alexandria database: a geometry-optimized KTe3Ru structure (GGA-PBE).

Energy relative to the lowest polymorph listed for this composition = 0.0 meV per atom
Crystal system = cubic
Formation energy without anion corrections = 0.0 eV per formula unit
DOS(E_F) = 1.63 states/eV per atom
Space-group type = Pm-3m

```
5
Lattice="5.3959 0.0000 0.0000 0.0000 5.3959 0.0000 0.0000 0.0000 5.3959" Properties=species:S:1:pos:R:3 pbc="T T T"
K 0.0000 0.0000 0.0000
Te 0.0000 2.6980 2.6980
Te 2.6980 0.0000 2.6980
Te 2.6980 2.6980 0.0000
Ru 2.6980 2.6980 2.6980
```


7.
Entry from the Alexandria database: a geometry-optimized CsRb2TlAg structure (GGA-PBE).

Energy relative to the lowest polymorph listed for this composition = 44.0 meV per atom
Crystal system = tetragonal
DFT formation energy = 0.114 eV/atom
DOS(E_F) = 0.66 states/eV per atom
Space-group type = P4/mmm

```
5
Lattice="7.2786 0.0000 0.0000 0.0000 7.2786 0.0000 0.0000 0.0000 5.5528" Properties=species:S:1:pos:R:3 pbc="T T T"
Cs 0.0000 0.0000 0.0000
Rb 0.0000 3.6393 2.7764
Rb 3.6393 0.0000 2.7764
Tl 3.6393 3.6393 2.7764
Ag 3.6393 3.6393 0.0000
```


8.
Entry from the Alexandria database: a geometry-optimized Tm4Tl3Zn structure (GGA-PBE).

Energy relative to the lowest polymorph listed for this composition = 0.0 meV per atom
Crystal system = tetragonal
DFT formation energy = -0.318 eV/atom
DOS(E_F) = 0.74 states/eV per atom
Space-group type = P4/mmm

```
8
Lattice="3.6056 0.0000 0.0000 0.0000 3.6056 0.0000 0.0000 0.0000 15.5453" Properties=species:S:1:pos:R:3 pbc="T T T"
Tm 0.0000 0.0000 1.6819
Tm 0.0000 0.0000 5.7303
Tm 0.0000 0.0000 9.8150
Tm 0.0000 0.0000 13.8634
Tl 1.8028 1.8028 3.6871
Tl 1.8028 1.8028 7.7726
Tl 1.8028 1.8028 11.8582
Zn 1.8028 1.8028 0.0000
```


9.
Entry from the Alexandria database: a geometry-optimized CaAc2NpP4 structure (GGA-PBE).

Crystal system = monoclinic
DFT formation energy = -1.151 eV/atom
DOS(E_F) = 1.33 states/eV per atom
Space-group type = P2/m

```
8
Lattice="7.3153 0.0000 0.0000 0.0000 4.2653 0.0000 -2.4291 0.0000 6.9248" Properties=species:S:1:pos:R:3 pbc="T T T"
Ca 0.0000 0.0000 0.0000
Ac 2.4431 0.0000 3.4624
Ac 3.6577 2.1326 0.0000
Np -1.2145 2.1326 3.4624
P -0.1483 0.0000 5.0583
P 1.0262 2.1326 1.7934
P 3.8600 2.1326 5.1314
P 5.0345 0.0000 1.8665
```


10.
Entry from the Alexandria database: a geometry-optimized RbCd3P structure (GGA-PBE).

Energy relative to the lowest polymorph listed for this composition = 0.0 meV per atom
Crystal system = cubic
DFT formation energy = 0.188 eV/atom
DOS(E_F) = 0.51 states/eV per atom
Space-group type = Pm-3m

```
5
Lattice="5.4332 0.0000 0.0000 0.0000 5.4332 0.0000 0.0000 0.0000 5.4332" Properties=species:S:1:pos:R:3 pbc="T T T"
Rb 0.0000 0.0000 0.0000
Cd 0.0000 2.7166 2.7166
Cd 2.7166 0.0000 2.7166
Cd 2.7166 2.7166 0.0000
P 2.7166 2.7166 2.7166
```


11.
Entry from the Alexandria database: a geometry-optimized FeCoBr structure (GGA-PBE).

Energy relative to the lowest polymorph listed for this composition = 130.5 meV per atom
Crystal system = orthorhombic
Formation energy without anion corrections = 1.7 eV per formula unit
DOS(E_F) = 0.53 states/eV per atom
Space-group type = Fmm2

```
3
Lattice="0.0000 2.6419 5.6697 1.6914 0.0000 5.6697 1.6914 2.6419 0.0000" Properties=species:S:1:pos:R:3 pbc="T T T"
Fe 0.0000 0.0000 0.0000
Co 1.6914 2.6419 7.1743
Br 1.6914 2.6419 3.6033
```


12.
Entry from the Alexandria database: a geometry-optimized K3Na2NpO6 structure (GGA-PBE).

Crystal system = monoclinic
Formation energy without anion corrections = -24.9 eV per formula unit
Space-group type = C2/m

```
12
Lattice="3.0387 -5.2388 0.0000 3.0387 5.2388 0.0000 -2.0026 0.0000 6.0849" Properties=species:S:1:pos:R:3 pbc="T T T"
K 0.0000 0.0000 0.0000
K 3.0387 1.8571 0.0000
K 3.0387 -1.8571 0.0000
Na 2.0374 3.4973 3.0425
Na 2.0374 -3.4973 3.0425
Np 2.0374 0.0000 3.0425
O 1.1873 1.4526 1.8686
O 0.3787 0.0000 4.2313
O 1.1873 -1.4526 1.8686
O 2.8874 1.4526 4.2163
O 3.6961 0.0000 1.8536
O 2.8874 -1.4526 4.2163
```


Q: Which volume values were calculated for the entries above? A: 639.9; 82.0; 390.4; 168.0; 132.2; 157.1; 294.2; 202.1; 216.1; 160.4; 50.7; 193.7, in Å³/cell.